A plane-wave DFT calculation with PBE-GGA was carried out for an optimized crystal structure of Sm4AuS5. Values from VASP.

The structure in Quantum ESPRESSO input format:
```
&SYSTEM
  ibrav = 0, nat = 10, ntyp = 3
/
ATOMIC_SPECIES
S 32.06 S.upf
Sm 150.36 Sm.upf
Au 196.97 Au.upf
CELL_PARAMETERS angstrom
4.014 0.000 0.000
0.000 8.815 -0.714
-2.007 -2.117 8.537
ATOMIC_POSITIONS angstrom
S 2.007 4.640 5.310
S 2.007 -0.439 5.740
S 0.000 7.136 2.083
S 2.007 4.407 -0.357
S 0.000 2.058 2.512
Sm 0.000 6.378 4.714
Sm 0.000 2.482 -0.138
Sm 2.007 0.319 3.109
Sm 2.007 4.215 7.961
Au 2.007 0.000 0.000
```

Values from the calculation:
* uncorrected formation energy: -1.67 eV per atom


A plane-wave DFT calculation with PBE-GGA was carried out for an optimized crystal structure of SmPu2Se3. Values from VASP.

The structure in Quantum ESPRESSO input format:
```
&SYSTEM
  ibrav = 0, nat = 6, ntyp = 3
/
ATOMIC_SPECIES
Pu 244.00 Pu.upf
Sm 150.36 Sm.upf
Se 78.96 Se.upf
CELL_PARAMETERS angstrom
-3.973 0.963 -0.774
-1.187 -5.671 -0.962
1.226 1.615 6.898
ATOMIC_POSITIONS angstrom
Pu -4.098 -3.656 -0.285
Pu 0.165 0.562 5.447
Sm -1.967 -1.547 2.581
Se -1.373 1.289 3.062
Se -3.495 -0.815 0.154
Se -0.438 -2.278 5.009
```

Values from the calculation:
* uncorrected formation energy: -1.64 eV per atom


A plane-wave DFT calculation with PBE-GGA was carried out for an optimized crystal structure of MgZn2P. Values from VASP.

The structure in Quantum ESPRESSO input format:
```
&SYSTEM
  ibrav = 0, nat = 4, ntyp = 3
/
ATOMIC_SPECIES
Zn 65.41 Zn.upf
P 30.97 P.upf
Mg 24.30 Mg.upf
CELL_PARAMETERS angstrom
-2.174 -4.870 -0.782
2.416 -0.855 -1.391
1.575 -1.321 3.846
ATOMIC_POSITIONS angstrom
Zn 2.046 -1.107 1.202
Zn 3.940 -2.158 2.480
P 1.906 -4.067 1.450
Mg -0.090 -2.979 0.223
```

Values from the calculation:
* ΔE_f: 0.0119 eV per atom


A plane-wave DFT calculation with PBE-GGA was carried out for an optimized crystal structure of CrCo8Pt6. Values from VASP.

The structure in Quantum ESPRESSO input format:
```
&SYSTEM
  ibrav = 0, nat = 15, ntyp = 3
/
ATOMIC_SPECIES
Co 58.93 Co.upf
Pt 195.08 Pt.upf
Cr 52.00 Cr.upf
CELL_PARAMETERS angstrom
5.991 0.522 2.694
1.943 5.691 2.694
0.667 0.522 6.535
ATOMIC_POSITIONS angstrom
Co 5.875 1.765 5.066
Co 3.666 2.871 5.082
Co 3.823 5.281 4.560
Co 6.180 4.291 4.750
Co 4.779 1.455 7.363
Co 2.727 4.971 6.857
Co 2.421 2.445 7.173
Co 4.936 3.865 6.841
Pt 5.941 3.468 9.379
Pt 1.212 1.800 4.418
Pt 2.661 3.268 2.544
Pt 5.052 5.990 8.596
Pt 7.389 4.936 7.505
Pt 3.550 0.745 3.327
Cr 0.000 0.000 0.000
```

Values from the calculation:
* ΔE_f: 0.0422 eV per atom


A plane-wave DFT calculation with PBE-GGA was carried out for an optimized crystal structure of Ta2AlFe. Values from VASP.

The structure in Quantum ESPRESSO input format:
```
&SYSTEM
  ibrav = 0, nat = 4, ntyp = 3
/
ATOMIC_SPECIES
Al 26.98 Al.upf
Ta 180.95 Ta.upf
Fe 55.84 Fe.upf
CELL_PARAMETERS angstrom
8.915 -0.024 -0.014
8.441 2.866 -0.014
8.441 1.382 2.511
ATOMIC_POSITIONS angstrom
Al 6.449 1.056 0.621
Ta 12.730 2.084 1.225
Ta 0.169 0.028 0.016
Fe 19.348 3.168 1.862
```

Values from the calculation:
* ΔE_f: 0.1224 eV per atom


A plane-wave DFT calculation with PBE-GGA was carried out for an optimized crystal structure of PrNdHo2. Values from VASP.

The structure in Quantum ESPRESSO input format:
```
&SYSTEM
  ibrav = 0, nat = 4, ntyp = 3
/
ATOMIC_SPECIES
Ho 164.93 Ho.upf
Pr 140.91 Pr.upf
Nd 144.24 Nd.upf
CELL_PARAMETERS angstrom
-2.939 3.975 2.929
-5.118 -1.300 2.266
-0.583 -0.475 5.696
ATOMIC_POSITIONS angstrom
Ho -2.160 0.550 2.723
Ho -6.479 1.650 8.168
Pr -4.319 1.100 5.446
Nd 0.000 0.000 0.000
```

Values from the calculation:
* ΔE_f: 0.1074 eV per atom


no.,energy (eV per atom)
1,-5.944
2,-8.946
3,-2.376
4,-6.806
5,-8.855
6,-4.568